Entry 1:
The following is a PBE-GGA calculation of a relaxed Ca3P4Pd4 crystal, from the Alexandria database.

abc: 4.1051 4.1339 12.3925
angles: 80.46 80.47 89.93
Element x y z (fractional)
Ca  0.0000  0.0000  0.0000
Ca  0.1467  0.6466  0.7075
Ca  0.8533  0.3534  0.2925
P  0.3079  0.8075  0.3846
P  0.4508  0.4522  0.0943
P  0.5492  0.5478  0.9057
P  0.6921  0.1925  0.6154
Pd  0.2491  0.2497  0.5013
Pd  0.4051  0.9052  0.1893
Pd  0.5949  0.0948  0.8107
Pd  0.7509  0.7503  0.4987

Summary:
formation energy	-0.933	eV per atom
symmetry	P-1 (2)

Entry 2:
The following is a PBE-GGA calculation of a relaxed ZrAs2Os crystal, from the Alexandria database.

abc: 5.4297 5.4297 5.4297
angles: 147.21 122.59 67.71
Element x y z (fractional)
Zr  0.0000  0.0000  0.0000
As  0.2823  0.7823  0.5000
As  0.7177  0.2177  0.5000
Os  0.5000  0.5000  0.0000

Summary:
formation energy	-0.045	eV per atom
symmetry	Immm (71)
energy above the most stable polymorph in this dataset	341.8	meV per atom